No. 1
# PrSmP2 | Alexandria via LeMat-Bulk | GGA-PBE | optimized geometry
data_PrSmP2
_cell_length_a 4.1585
_cell_length_b 4.1585
_cell_length_c 20.3461
_cell_angle_alpha 90.00
_cell_angle_beta 90.00
_cell_angle_gamma 120.00
_space_group_name_H-M_alt 'R -3 m'
_space_group_IT_number 166
_space_group_name_Hall '-R 3 2"'
loop_
_atom_site_label
_atom_site_fract_x
_atom_site_fract_y
_atom_site_fract_z
Pr1 0.0000 0.0000 0.0000
Sm1 0.0000 0.0000 0.5000
P1 0.0000 0.0000 0.2481
# - total magnetic moment (μB per cell) = 0.00
# - ΔE_f (eV/atom) = -1.542

=====

No. 2
# Nd2Tc5C4 | Alexandria via LeMat-Bulk | GGA-PBE | optimized geometry
data_Nd2Tc5C4
_cell_length_a 5.444
_cell_length_b 10.353
_cell_length_c 10.886
_cell_angle_alpha 90.00
_cell_angle_beta 90.00
_cell_angle_gamma 90.00
_space_group_name_H-M_alt 'F m m m'
_space_group_IT_number 69
_space_group_name_Hall '-F 2 2'
loop_
_atom_site_label
_atom_site_fract_x
_atom_site_fract_y
_atom_site_fract_z
Nd1 0.000 0.000 0.152
Tc1 0.000 0.000 0.500
Tc2 0.250 0.250 0.000
Tc3 0.250 0.250 0.250
C1 0.000 0.157 0.366
# - total magnetic moment (μB per cell) = 0.01
# - ΔE_f (eV/atom) = 0.019

=====

No. 3
# Cs2YCd | Alexandria via LeMat-Bulk | GGA-PBE | optimized geometry
data_Cs2YCd
_cell_length_a 9.355
_cell_length_b 9.355
_cell_length_c 9.355
_cell_angle_alpha 90.00
_cell_angle_beta 90.00
_cell_angle_gamma 90.00
_space_group_name_H-M_alt 'F m -3 m'
_space_group_IT_number 225
_space_group_name_Hall '-F 4 2 3'
loop_
_atom_site_label
_atom_site_fract_x
_atom_site_fract_y
_atom_site_fract_z
Cs1 0.250 0.250 0.250
Y1 0.000 0.000 0.000
Cd1 0.000 0.000 0.500
# - total magnetic moment (μB per cell) = 9.36
# - ΔE_f (eV/atom) = 0.655

=====

No. 4
# LiMg2Au6 | Alexandria via LeMat-Bulk | GGA-PBE | optimized geometry
data_LiMg2Au6
_cell_length_a 12.391
_cell_length_b 7.766
_cell_length_c 3.978
_cell_angle_alpha 90.00
_cell_angle_beta 108.66
_cell_angle_gamma 90.00
_space_group_name_H-M_alt 'C 1 2/m 1'
_space_group_IT_number 12
_space_group_name_Hall '-C 2y'
loop_
_atom_site_label
_atom_site_fract_x
_atom_site_fract_y
_atom_site_fract_z
Li1 0.000 0.000 0.000
Mg1 0.161 0.500 0.661
Au1 0.000 0.238 0.500
Au2 0.166 0.246 0.166
# - total magnetic moment (μB per cell) = 0.00
# - ΔE_f (eV/atom) = -0.334

=====

No. 5
# Ca2HfTc | Alexandria via LeMat-Bulk | GGA-PBE | optimized geometry
data_Ca2HfTc
_cell_length_a 7.236
_cell_length_b 7.236
_cell_length_c 7.236
_cell_angle_alpha 90.00
_cell_angle_beta 90.00
_cell_angle_gamma 90.00
_space_group_name_H-M_alt 'F m -3 m'
_space_group_IT_number 225
_space_group_name_Hall '-F 4 2 3'
loop_
_atom_site_label
_atom_site_fract_x
_atom_site_fract_y
_atom_site_fract_z
Ca1 0.250 0.250 0.250
Hf1 0.000 0.000 0.000
Tc1 0.000 0.000 0.500
# - total magnetic moment (μB per cell) = 0.00
# - ΔE_f (eV/atom) = 0.890

=====

No. 6
# MgMnIn2 | Alexandria via LeMat-Bulk | GGA-PBE | optimized geometry
data_MgMnIn2
_cell_length_a 3.134
_cell_length_b 3.134
_cell_length_c 8.696
_cell_angle_alpha 90.00
_cell_angle_beta 90.00
_cell_angle_gamma 90.00
_space_group_name_H-M_alt 'P 4 m m'
_space_group_IT_number 99
_space_group_name_Hall 'P 4 -2'
loop_
_atom_site_label
_atom_site_fract_x
_atom_site_fract_y
_atom_site_fract_z
Mg1 0.000 0.000 0.000
Mn1 0.500 0.500 0.208
In1 0.000 0.000 0.420
In2 0.500 0.500 0.722
# - total magnetic moment (μB per cell) = 3.42
# - ΔE_f (eV/atom) = 0.151

=====

No. 7
# NaTcAs2Br | Alexandria via LeMat-Bulk | GGA-PBE | optimized geometry
data_NaTcAs2Br
_cell_length_a 5.064
_cell_length_b 5.064
_cell_length_c 5.137
_cell_angle_alpha 90.00
_cell_angle_beta 90.00
_cell_angle_gamma 90.00
_space_group_name_H-M_alt 'P 4/m m m'
_space_group_IT_number 123
_space_group_name_Hall '-P 4 2'
loop_
_atom_site_label
_atom_site_fract_x
_atom_site_fract_y
_atom_site_fract_z
Na1 0.000 0.000 0.000
Tc1 0.500 0.500 0.500
As1 0.000 0.500 0.000
Br1 0.000 0.000 0.500
# - total magnetic moment (μB per cell) = 3.50
# - uncorrected formation energy (meV/atom) = 1312.5

=====

No. 8
# LiInPb | Alexandria via LeMat-Bulk | GGA-PBE | optimized geometry
data_LiInPb
_cell_length_a 5.684
_cell_length_b 9.745
_cell_length_c 6.042
_cell_angle_alpha 90.00
_cell_angle_beta 115.12
_cell_angle_gamma 90.00
_space_group_name_H-M_alt 'C 1 2/c 1'
_space_group_IT_number 15
_space_group_name_Hall '-C 2yc'
loop_
_atom_site_label
_atom_site_fract_x
_atom_site_fract_y
_atom_site_fract_z
Li1 0.000 0.098 0.250
In1 0.000 0.233 0.750
Pb1 0.000 0.426 0.250
# - total magnetic moment (μB per cell) = 0.00
# - ΔE_f (eV/atom) = -0.154

=====

No. 9
# K3TiTe2O9 | Alexandria via LeMat-Bulk | GGA-PBE | optimized geometry
data_K3TiTe2O9
_cell_length_a 5.6790
_cell_length_b 5.6790
_cell_length_c 6.9590
_cell_angle_alpha 90.00
_cell_angle_beta 90.00
_cell_angle_gamma 120.00
_space_group_name_H-M_alt 'P -3 m 1'
_space_group_IT_number 164
_space_group_name_Hall '-P 3 2"'
loop_
_atom_site_label
_atom_site_fract_x
_atom_site_fract_y
_atom_site_fract_z
K1 0.0000 0.0000 0.0000
K2 0.3333 0.6667 0.6678
Ti1 0.0000 0.0000 0.5000
Te1 0.3333 0.6667 0.1766
O1 0.0000 0.5000 0.0000
O2 0.1673 0.3345 0.3352
# - total magnetic moment (μB per cell) = 0.00
# - uncorrected formation energy (meV/atom) = -1629.0

=====

No. 10
# Os2RhPb | Alexandria via LeMat-Bulk | GGA-PBE | optimized geometry
data_Os2RhPb
_cell_length_a 4.082
_cell_length_b 4.082
_cell_length_c 7.794
_cell_angle_alpha 90.00
_cell_angle_beta 90.00
_cell_angle_gamma 90.00
_space_group_name_H-M_alt 'I -4 m 2'
_space_group_IT_number 119
_space_group_name_Hall 'I -4 -2'
loop_
_atom_site_label
_atom_site_fract_x
_atom_site_fract_y
_atom_site_fract_z
Os1 0.000 0.000 0.000
Os2 0.000 0.500 0.250
Rh1 0.000 0.000 0.500
Pb1 0.000 0.500 0.750
# - total magnetic moment (μB per cell) = 0.00
# - ΔE_f (eV/atom) = 0.652

=====

No. 11
# CuSiW | Alexandria via LeMat-Bulk | GGA-PBE | optimized geometry
data_CuSiW
_cell_length_a 2.748
_cell_length_b 3.345
_cell_length_c 8.885
_cell_angle_alpha 90.00
_cell_angle_beta 90.00
_cell_angle_gamma 90.00
_space_group_name_H-M_alt 'I m m 2'
_space_group_IT_number 44
_space_group_name_Hall 'I 2 -2'
loop_
_atom_site_label
_atom_site_fract_x
_atom_site_fract_y
_atom_site_fract_z
Cu1 0.000 0.000 0.000
Si1 0.000 0.000 0.641
W1 0.000 0.000 0.315
# - total magnetic moment (μB per cell) = 0.00
# - uncorrected formation energy (meV/atom) = 218.1

=====

No. 12
# Rb3FePb | Alexandria via LeMat-Bulk | GGA-PBE | optimized geometry
data_Rb3FePb
_cell_length_a 7.164
_cell_length_b 7.164
_cell_length_c 7.164
_cell_angle_alpha 90.00
_cell_angle_beta 90.00
_cell_angle_gamma 90.00
_space_group_name_H-M_alt 'P m -3 m'
_space_group_IT_number 221
_space_group_name_Hall '-P 4 2 3'
loop_
_atom_site_label
_atom_site_fract_x
_atom_site_fract_y
_atom_site_fract_z
Rb1 0.000 0.000 0.500
Fe1 0.500 0.500 0.500
Pb1 0.000 0.000 0.000
# - total magnetic moment (μB per cell) = 5.00
# - ΔE_f (eV/atom) = 0.855

=====

Asked for total energy across the records above, the calculation gives -6.622 -8.914 -1.617 -3.086 -5.190 -3.910 -3.219 -2.941 -5.769 -7.728 -7.273 -2.160 eV per atom in order.